<one>
Below is a relaxed structure of TcP3, with properties calculated at the PBE level.

Summary:
The magnetic moment comes out at 0.0 μB/cell.

Structure (POSCAR):
```
TcP3
1.0
4.648 -0.009 0.027
1.235 4.481 -0.027
-2.348 -3.016 2.644
P Tc
3 1
Direct
0.776 0.776 0.000
0.224 0.224 0.000
0.000 0.500 0.500
0.500 0.000 0.500
```

=====

<two>
Below is a relaxed structure of TcP3, with properties calculated at the PBE level.

Summary:
The magnetic moment comes out at 0.0 μB/cell.

Structure (POSCAR):
```
TcP3
1.0
-1.668 1.542 5.273
5.256 -1.357 2.059
2.228 6.718 -1.260
P Tc
12 4
Direct
0.112 0.940 0.750
0.612 0.560 0.250
0.388 0.440 0.750
0.888 0.060 0.250
0.620 0.197 0.914
0.120 0.303 0.086
0.880 0.697 0.586
0.380 0.803 0.414
0.380 0.803 0.086
0.880 0.697 0.914
0.120 0.303 0.414
0.620 0.197 0.586
0.516 0.832 0.750
0.016 0.668 0.250
0.984 0.332 0.750
0.484 0.168 0.250
```

=====

Energy ordering: <two> at the bottom, the next structure 531 meV/atom above.

=====

<one>
Below is a relaxed structure of AgAs2Br, with properties calculated at the PBE level.

Summary:
The magnetic moment comes out at 0.0 μB/cell.

Structure (POSCAR):
```
AgAs2Br
1.0
3.135 0.000 0.000
0.000 5.364 0.000
0.000 0.000 4.959
As Br Ag
2 1 1
Direct
0.000 0.000 0.000
0.500 0.500 0.000
0.500 0.000 0.500
0.000 0.500 0.500
```

=====

<two>
Below is a relaxed structure of AgAs2Br, with properties calculated at the PBE level.

Summary:
The magnetic moment comes out at 0.0 μB/cell.

Structure (POSCAR):
```
AgAs2Br
1.0
5.240 0.000 0.000
0.000 5.240 0.000
0.000 0.000 3.045
As Br Ag
2 1 1
Direct
0.000 0.000 0.000
0.500 0.500 0.000
0.500 0.000 0.500
0.000 0.500 0.500
```

=====

Energy ordering: <one> at the bottom, the next structure 125 meV/atom above.

=====

<one>
Below is a relaxed structure of ZrTe2P, with properties calculated at the PBE level.

Summary:
The magnetic moment comes out at 0.0 μB/cell.

Structure (POSCAR):
```
ZrTe2P
1.0
-4.617 -2.780 -0.004
3.030 -1.006 -4.342
1.106 -3.961 0.331
Zr Te P
1 2 1
Direct
0.000 0.000 0.500
0.000 0.500 0.000
0.500 0.000 0.000
0.500 0.500 0.500
```

=====

<two>
Below is a relaxed structure of ZrTe2P, with properties calculated at the PBE level.

Summary:
The magnetic moment comes out at 0.0 μB/cell.

Structure (POSCAR):
```
ZrTe2P
1.0
0.048 -4.727 -0.702
3.369 -3.094 -1.385
1.925 -1.257 6.358
Zr Te P
1 2 1
Direct
0.494 0.494 0.408
0.009 0.009 0.072
0.797 0.797 0.672
0.199 0.199 0.348
```

=====

Energy ordering: <two> at the bottom, the next structure 493 meV/atom above.

=====

<one>
Below is a relaxed structure of Cu7Pt2Au2, with properties calculated at the PBE level.

Summary:
The magnetic moment comes out at 0.0 μB/cell.

Structure (POSCAR):
```
Cu7Pt2Au2
1.0
6.077 -0.434 -0.179
-1.241 4.354 -1.146
0.305 -0.434 6.072
Cu Pt Au
7 2 2
Direct
0.068 0.332 0.589
0.411 0.668 0.932
0.932 0.668 0.411
0.589 0.332 0.068
0.000 0.500 0.000
0.252 0.047 0.252
0.748 0.953 0.748
0.819 0.000 0.181
0.181 0.000 0.819
0.603 0.329 0.603
0.397 0.671 0.397
```

=====

<two>
Below is a relaxed structure of Cu7Pt2Au2, with properties calculated at the PBE level.

Summary:
The magnetic moment comes out at 0.0 μB/cell.

Structure (POSCAR):
```
Cu7Pt2Au2
1.0
-1.791 2.526 -3.512
2.064 -5.189 -2.411
-4.633 -2.951 2.613
Cu Pt Au
7 2 2
Direct
0.641 0.921 0.403
0.359 0.597 0.079
0.359 0.079 0.597
0.641 0.403 0.921
0.500 0.000 0.000
0.316 0.592 0.592
0.684 0.408 0.408
0.000 0.237 0.763
0.000 0.763 0.237
0.060 0.241 0.241
0.940 0.759 0.759
```

=====

Energy ordering: <one> at the bottom, the next structure 35 meV/atom above.

=====

<one>
Below is a relaxed structure of KTlSb2, with properties calculated at the PBE level.

Summary:
The magnetic moment comes out at 0.0 μB/cell.

Structure (POSCAR):
```
KTlSb2
1.0
4.196 0.015 0.000
-0.015 4.196 0.000
0.000 0.000 7.719
Sb Tl K
2 1 1
Direct
0.000 0.000 0.070
0.500 0.500 0.215
0.000 0.000 0.459
0.500 0.500 0.756
```

=====

<two>
Below is a relaxed structure of KTlSb2, with properties calculated at the PBE level.

Summary:
The magnetic moment comes out at 0.0 μB/cell.

Structure (POSCAR):
```
KTlSb2
1.0
-4.488 2.604 3.836
-6.050 0.278 -2.228
4.647 -4.448 0.510
K Sb Tl
1 2 1
Direct
0.250 0.750 0.500
0.000 0.000 0.000
0.500 0.500 0.000
0.750 0.250 0.500
```

=====

Energy ordering: <one> at the bottom, the next structure 25 meV/atom above.